(1)
YSc3Cr: optimized geometry, PBE.

Values from the calculation:
**VASP energy**: -28.685 eV/cell
**Crystal system**: cubic

Cell: 5.2126 5.2126 5.2126 Å, 90.00 90.00 90.00°
Space group Pm-3m (No. 221)
Symmetry-distinct sites (fractional):
1 Y 0.0000 0.0000 0.0000 x1
2 Sc 0.0000 0.0000 0.5000 x3
3 Cr 0.5000 0.5000 0.5000 x1

(2)
Y2ScCr: optimized geometry, PBE.

Values from the calculation:
**Offset from the most stable computed form**: 0.068 eV/atom
**Crystal system**: orthorhombic

Cell: 3.7250 5.1844 10.6371 Å, 90.00 90.00 90.00°
Space group Immm (No. 71)
Symmetry-distinct sites (fractional):
1 Y 0.0000 0.0000 0.2135 x4
2 Sc 0.0000 0.5000 0.0000 x2
3 Cr 0.0000 0.5000 0.5000 x2

(3)
YScCr2: optimized geometry, PBE.

Values from the calculation:
**Offset from the most stable computed form**: 0.378 eV/atom
**Crystal system**: monoclinic

Cell: 9.3389 3.2281 5.6975 Å, 90.00 101.15 90.00°
Space group C2/m (No. 12)
Symmetry-distinct sites (fractional):
1 Y 0.0000 0.0000 0.0000 x2
2 Sc 0.0000 0.5000 0.5000 x2
3 Cr 0.2455 0.0000 0.7180 x4

(4)
YScCr2: optimized geometry, PBE.

Values from the calculation:
**Offset from the most stable computed form**: 0.240 eV/atom
**Crystal system**: monoclinic

Cell: 10.7850 3.2645 5.0410 Å, 90.00 109.85 90.00°
Space group Cm (No. 8)
Symmetry-distinct sites (fractional):
1 Y 0.0000 0.0000 0.0000 x2
2 Sc 0.2881 0.5000 0.3635 x2
3 Cr 0.0329 0.5000 0.5112 x2
4 Cr 0.2474 0.0000 0.8389 x2

(5)
Y2ScCr: optimized geometry, PBE.

Values from the calculation:
**Offset from the most stable computed form**: 0.000 eV/atom
**Crystal system**: orthorhombic

Cell: 3.6250 5.2544 10.7604 Å, 90.00 90.00 90.00°
Space group Imm2 (No. 44)
Symmetry-distinct sites (fractional):
1 Y 0.0000 0.0000 0.0000 x2
2 Y 0.0000 0.5000 0.2128 x2
3 Sc 0.0000 0.0000 0.4266 x2
4 Cr 0.0000 0.5000 0.7246 x2

(6)
YScCr2: optimized geometry, PBE.

Values from the calculation:
**Offset from the most stable computed form**: 0.141 eV/atom
**Crystal system**: tetragonal

Cell: 4.8488 4.8488 3.4298 Å, 90.00 90.00 90.00°
Space group P4/mmm (No. 123)
Symmetry-distinct sites (fractional):
1 Y 0.0000 0.0000 0.0000 x1
2 Sc 0.5000 0.5000 0.0000 x1
3 Cr 0.0000 0.5000 0.5000 x2

(7)
Y2ScCr: optimized geometry, PBE.

Values from the calculation:
**Offset from the most stable computed form**: 0.015 eV/atom
**Crystal system**: tetragonal

Cell: 3.5374 3.5374 8.2387 Å, 90.00 90.00 90.00°
Space group P4mm (No. 99)
Symmetry-distinct sites (fractional):
1 Y 0.0000 0.0000 0.0000 x1
2 Y 0.5000 0.5000 0.3184 x1
3 Sc 0.5000 0.5000 0.7173 x1
4 Cr 0.0000 0.0000 0.5417 x1

(8)
YScCr2: optimized geometry, PBE.

Values from the calculation:
**Offset from the most stable computed form**: 0.278 eV/atom
**Crystal system**: tetragonal

Cell: 4.1796 4.1796 9.7129 Å, 90.00 90.00 90.00°
Space group I-4m2 (No. 119)
Symmetry-distinct sites (fractional):
1 Y 0.0000 0.0000 0.0000 x2
2 Sc 0.0000 0.5000 0.2500 x2
3 Cr 0.0000 0.0000 0.5000 x2
4 Cr 0.0000 0.5000 0.7500 x2